Entry 1:
This record from OQMD via LeMat-Bulk describes Hf5Si3B after structural relaxation. The functional is PBE.

Summary:
As for the crystal system: hexagonal. The calculation puts the magnetization at 0.0 μB per formula unit.

Cell: 7.9507 7.9507 5.5474 Å, 90.00 90.00 120.00°
With the nearest neighbours (Å) after each atom.
Element x y z (fractional)
Hf 0.0000 0.2445 0.2500  2 B 2.39
Hf 0.0000 0.7555 0.7500  2 B 2.39
Hf 0.2445 0.0000 0.2500  2 B 2.39
Hf 0.2445 0.2445 0.7500  2 B 2.39
Hf 0.3333 0.6667 0.0000  2 Hf 2.77, 6 Si 2.80
Hf 0.3333 0.6667 0.5000  2 Hf 2.77, 6 Si 2.80
Hf 0.6667 0.3333 0.0000  2 Hf 2.77, 6 Si 2.80
Hf 0.6667 0.3333 0.5000  2 Hf 2.77, 6 Si 2.80
Hf 0.7555 0.0000 0.7500  2 B 2.39
Hf 0.7555 0.7555 0.2500  2 B 2.39
Si 0.0000 0.3981 0.7500  9 Hf 2.76-3.03
Si 0.0000 0.6019 0.2500  9 Hf 2.76-3.03
Si 0.3981 0.0000 0.7500  9 Hf 2.76-3.03
Si 0.3981 0.3981 0.2500  9 Hf 2.76-3.03
Si 0.6019 0.0000 0.2500  9 Hf 2.76-3.03
Si 0.6019 0.6019 0.7500  9 Hf 2.76-3.03
B 0.0000 0.0000 0.0000  6 Hf 2.39
B 0.0000 0.0000 0.5000  6 Hf 2.39

---

Entry 2:
This record from OQMD via LeMat-Bulk describes TbIn5Cu after structural relaxation. The functional is PBE.

Summary:
As for the crystal system: tetragonal. The calculation puts the magnetization at 0.0 μB per formula unit.

Cell: 4.6817 4.6817 7.5907 Å, 90.00 90.00 90.00°
With the nearest neighbours (Å) after each atom.
Element x y z (fractional)
Tb 0.0000 0.0000 0.0000  12 In 3.27-3.31
In 0.0000 0.5000 0.3006  2 Cu 2.79, 1 In 3.03
In 0.0000 0.5000 0.6994  2 Cu 2.79, 1 In 3.03
In 0.5000 0.0000 0.3006  2 Cu 2.79, 1 In 3.03
In 0.5000 0.0000 0.6994  2 Cu 2.79, 1 In 3.03
In 0.5000 0.5000 0.0000  8 In 3.27, 4 Tb 3.31
Cu 0.0000 0.0000 0.5000  8 In 2.79

---

Entry 3:
This record from OQMD via LeMat-Bulk describes Tl2GaAg after structural relaxation. The functional is PBE.

Summary:
As for the crystal system: cubic.

Cell: 5.2026 5.2026 5.2026 Å, 60.00 60.00 60.00°
With the nearest neighbours (Å) after each atom.
Element x y z (fractional)
Tl 0.0000 0.0000 0.0000  4 Tl 3.19, 4 Ag 3.19
Tl 0.2500 0.2500 0.2500  4 Tl 3.19, 4 Ga 3.19
Ga 0.5000 0.5000 0.5000  4 Tl 3.19, 4 Ag 3.19
Ag 0.7500 0.7500 0.7500  4 Tl 3.19, 4 Ga 3.19

---

Entry 4:
This record from OQMD via LeMat-Bulk describes Li2TaTl after structural relaxation. The functional is PBE.

Summary:
As for the crystal system: cubic. The calculation puts the magnetization at 0.0 μB per formula unit.

Cell: 4.6685 4.6685 4.6685 Å, 60.00 60.00 60.00°
With the nearest neighbours (Å) after each atom.
Element x y z (fractional)
Li 0.0000 0.0000 0.0000  4 Ta 2.86, 4 Li 2.86
Li 0.2500 0.2500 0.2500  4 Tl 2.86, 4 Li 2.86
Ta 0.7500 0.7500 0.7500  4 Li 2.86, 4 Tl 2.86
Tl 0.5000 0.5000 0.5000  4 Ta 2.86, 4 Li 2.86

---

Entry 5:
This record from OQMD via LeMat-Bulk describes ZnSe after structural relaxation. The functional is PBE.

Summary:
As for the crystal system: orthorhombic.

Cell: 6.5144 4.2151 6.9317 Å, 90.00 90.00 90.00°
With the nearest neighbours (Å) after each atom.
Element x y z (fractional)
Zn 0.1327 0.2500 0.1187  4 Se 2.46-2.54
Zn 0.3673 0.7500 0.6187  4 Se 2.46-2.54
Zn 0.6327 0.2500 0.3813  4 Se 2.46-2.54
Zn 0.8673 0.7500 0.8813  4 Se 2.46-2.54
Se 0.2488 0.7500 0.9553  4 Zn 2.46-2.54
Se 0.2512 0.2500 0.4553  4 Zn 2.46-2.54
Se 0.7488 0.7500 0.5447  4 Zn 2.46-2.54
Se 0.7512 0.2500 0.0447  4 Zn 2.46-2.54

---

Entry 6:
This record from OQMD via LeMat-Bulk describes PrCu2Sb4Mo after structural relaxation. The functional is PBE.

Summary:
As for the crystal system: tetragonal. The calculation puts the magnetization at 0.9 μB per formula unit.

Cell: 4.2893 4.2893 9.4982 Å, 90.00 90.00 90.00°
With the nearest neighbours (Å) after each atom.
Element x y z (fractional)
Pr 0.0000 0.0000 0.0000  8 Sb 3.20-3.35, 4 Cu 3.39
Cu 0.0000 0.5000 0.7230  4 Sb 2.65-2.68
Cu 0.5000 0.0000 0.7230  4 Sb 2.65-2.68
Sb 0.0000 0.0000 0.5584  4 Cu 2.65
Sb 0.0000 0.5000 0.2714  2 Mo 2.83, 4 Sb 3.03
Sb 0.5000 0.0000 0.2714  2 Mo 2.83, 4 Sb 3.03
Sb 0.5000 0.5000 0.8917  4 Cu 2.68
Mo 0.5000 0.5000 0.4656  8 Sb 2.83-3.16

---

Total energy: -8.855; -3.362; -2.474; -4.004; -2.984; -5.058 (eV per atom)